VASP calculation (PBE-GGA) on a geometry-optimized Na3TmCl6 structure.

The energy is -79.0 eV/cell. Its total magnetic moment is 0.00 μB per atom. The density of states at the Fermi level is 0.000 states/eV per atom. As for the formation energy from raw total energies: -2000.5 meV/atom.

The structure belongs to space group P2_1/c (No. 14); the cell edges are 6.892, 7.299 and 12.256 Å and the angles 90.00°, 123.44° and 90.00°. The distinct sites, in fractional coordinates, are Na at (0.000, 0.000, 0.000), Na at (0.209, 0.075, 0.737), Tm at (0.500, 0.000, 0.500), Cl at (0.129, 0.183, 0.437), Cl at (0.245, 0.703, 0.417) and Cl at (0.407, 0.067, 0.265).